1.
Compound: KMgCu2
Source: Alexandria via LeMat-Bulk
Functional: PBE-GGA
Structure: relaxed

```
data_KMgCu2
_space_group_name_H-M_alt 'P 1'
_space_group_IT_number 1
_space_group_name_Hall 'P 1'
_cell_length_a 7.989
_cell_length_b 5.235
_cell_length_c 3.017
_cell_angle_alpha 90.10
_cell_angle_beta 67.67
_cell_angle_gamma 130.81
loop_
_atom_site_label
_atom_site_type_symbol
_atom_site_fract_x
_atom_site_fract_y
_atom_site_fract_z
_atom_site_occupancy
Mg1 Mg 0.500 0.500 0.000 1
Cu1 Cu 0.000 0.000 0.000 1
Cu2 Cu 0.500 0.000 0.500 1
K1 K 0.000 0.500 0.500 1
```

E above lowest polymorph	74	kJ/mol of formula units
E_form	0.42	eV/atom
space-group type	C2/m, No. 12

***

2.
Compound: K2MgCu
Source: Alexandria via LeMat-Bulk
Functional: PBE-GGA
Structure: relaxed

```
data_K2MgCu
_space_group_name_H-M_alt 'P 1'
_space_group_IT_number 1
_space_group_name_Hall 'P 1'
_cell_length_a 7.171
_cell_length_b 7.171
_cell_length_c 7.171
_cell_angle_alpha 148.32
_cell_angle_beta 130.05
_cell_angle_gamma 60.36
loop_
_atom_site_label
_atom_site_type_symbol
_atom_site_fract_x
_atom_site_fract_y
_atom_site_fract_z
_atom_site_occupancy
K1 K 0.953 0.953 0.000 1
K2 K 0.262 0.762 0.500 1
Cu1 Cu 0.714 0.214 0.500 1
Mg1 Mg 0.571 0.571 0.000 1
```

E_form	0.26	eV/atom
space-group type	Imm2, No. 44

***

3.
Compound: K4MgCu
Source: Alexandria via LeMat-Bulk
Functional: PBE-GGA
Structure: relaxed

```
data_K4MgCu
_space_group_name_H-M_alt 'P 1'
_space_group_IT_number 1
_space_group_name_Hall 'P 1'
_cell_length_a 7.586
_cell_length_b 7.586
_cell_length_c 7.586
_cell_angle_alpha 60.00
_cell_angle_beta 60.00
_cell_angle_gamma 60.00
loop_
_atom_site_label
_atom_site_type_symbol
_atom_site_fract_x
_atom_site_fract_y
_atom_site_fract_z
_atom_site_occupancy
K1 K 0.374 0.374 0.374 1
K2 K 0.374 0.374 0.877 1
K3 K 0.877 0.374 0.374 1
K4 K 0.374 0.877 0.374 1
Cu1 Cu 0.000 0.000 0.000 1
Mg1 Mg 0.750 0.750 0.750 1
```

E_form	0.54	eV/atom
space-group type	F-43m, No. 216

***

4.
Compound: K2MgCu
Source: Alexandria via LeMat-Bulk
Functional: PBE-GGA
Structure: relaxed

```
data_K2MgCu
_space_group_name_H-M_alt 'P 1'
_space_group_IT_number 1
_space_group_name_Hall 'P 1'
_cell_length_a 5.742
_cell_length_b 5.743
_cell_length_c 4.459
_cell_angle_alpha 90.00
_cell_angle_beta 90.00
_cell_angle_gamma 90.00
loop_
_atom_site_label
_atom_site_type_symbol
_atom_site_fract_x
_atom_site_fract_y
_atom_site_fract_z
_atom_site_occupancy
Mg1 Mg 0.500 0.000 0.500 1
K1 K 0.500 0.500 0.000 1
K2 K 0.000 0.000 0.000 1
Cu1 Cu 0.000 0.500 0.500 1
```

E_form	0.40	eV/atom
space-group type	P4/mmm, No. 123

***

5.
Compound: KMg2Cu
Source: Alexandria via LeMat-Bulk
Functional: PBE-GGA
Structure: relaxed

```
data_KMg2Cu
_space_group_name_H-M_alt 'P 1'
_space_group_IT_number 1
_space_group_name_Hall 'P 1'
_cell_length_a 6.233
_cell_length_b 6.233
_cell_length_c 8.995
_cell_angle_alpha 69.73
_cell_angle_beta 69.73
_cell_angle_gamma 90.00
loop_
_atom_site_label
_atom_site_type_symbol
_atom_site_fract_x
_atom_site_fract_y
_atom_site_fract_z
_atom_site_occupancy
Mg1 Mg 0.875 0.125 0.750 1
Mg2 Mg 0.875 0.625 0.250 1
Mg3 Mg 0.875 0.125 0.250 1
Mg4 Mg 0.375 0.125 0.750 1
K1 K 0.250 0.750 0.500 1
K2 K 0.500 0.500 0.000 1
Cu1 Cu 0.000 0.000 0.000 1
Cu2 Cu 0.750 0.250 0.500 1
```

E above lowest polymorph	82	kJ/mol of formula units
E_form	0.35	eV/atom
space-group type	I4_1/amd, No. 141

***

6.
Compound: KMgCu2
Source: Alexandria via LeMat-Bulk
Functional: PBE-GGA
Structure: relaxed

```
data_KMgCu2
_space_group_name_H-M_alt 'P 1'
_space_group_IT_number 1
_space_group_name_Hall 'P 1'
_cell_length_a 4.797
_cell_length_b 4.797
_cell_length_c 6.946
_cell_angle_alpha 82.49
_cell_angle_beta 82.49
_cell_angle_gamma 37.11
loop_
_atom_site_label
_atom_site_type_symbol
_atom_site_fract_x
_atom_site_fract_y
_atom_site_fract_z
_atom_site_occupancy
Cu1 Cu 0.517 0.517 0.384 1
Cu2 Cu 0.983 0.983 0.116 1
Mg1 Mg 0.250 0.250 0.250 1
K1 K 0.750 0.750 0.750 1
```

E above lowest polymorph	11	kJ/mol of formula units
E_form	0.26	eV/atom
space-group type	C2/m, No. 12

***

7.
Compound: KMg2Cu
Source: Alexandria via LeMat-Bulk
Functional: PBE-GGA
Structure: relaxed

```
data_KMg2Cu
_space_group_name_H-M_alt 'P 1'
_space_group_IT_number 1
_space_group_name_Hall 'P 1'
_cell_length_a 5.161
_cell_length_b 4.530
_cell_length_c 4.530
_cell_angle_alpha 90.00
_cell_angle_beta 90.00
_cell_angle_gamma 90.00
loop_
_atom_site_label
_atom_site_type_symbol
_atom_site_fract_x
_atom_site_fract_y
_atom_site_fract_z
_atom_site_occupancy
Mg1 Mg 0.000 0.000 0.000 1
Mg2 Mg 0.000 0.500 0.500 1
K1 K 0.500 0.000 0.500 1
Cu1 Cu 0.500 0.500 0.000 1
```

E above lowest polymorph	104	kJ/mol of formula units
E_form	0.41	eV/atom
space-group type	P4/mmm, No. 123

***

8.
Compound: KMgCu2
Source: Alexandria via LeMat-Bulk
Functional: PBE-GGA
Structure: relaxed

```
data_KMgCu2
_space_group_name_H-M_alt 'P 1'
_space_group_IT_number 1
_space_group_name_Hall 'P 1'
_cell_length_a 9.942
_cell_length_b 9.942
_cell_length_c 9.942
_cell_angle_alpha 17.83
_cell_angle_beta 17.83
_cell_angle_gamma 17.83
loop_
_atom_site_label
_atom_site_type_symbol
_atom_site_fract_x
_atom_site_fract_y
_atom_site_fract_z
_atom_site_occupancy
K1 K 0.250 0.250 0.250 1
Mg1 Mg 0.750 0.750 0.750 1
Cu1 Cu 0.011 0.011 0.011 1
Cu2 Cu 0.489 0.489 0.489 1
```

E above lowest polymorph	91	kJ/mol of formula units
E_form	0.46	eV/atom
space-group type	R-3m, No. 166